Record 1
5
Lattice="-2.1963 2.1963 5.7359 2.1963 -2.1963 5.7359 2.1963 2.1963 -5.7359" Properties=species:S:1:pos:R:3 comment="YZr2Tc2 | Alexandria via LeMat-Bulk | GGA-PBE | relaxed" magnetic_moment_mub_per_atom=0.000 delta_e_f_kj_per_mol_atoms=-1.57 n_ef_per_ev_atom=0.863 pbc="T T T"
Y 0.0000 0.0000 0.0000
Zr 2.1963 0.0000 2.8679
Zr 0.0000 2.1963 2.8679
Tc 0.0000 0.0000 4.5155
Tc 0.0000 0.0000 6.9562

Record 2
16
Lattice="-4.0441 4.0600 5.6169 4.0441 -4.0600 5.6169 4.0441 4.0600 -5.6169" Properties=species:S:1:pos:R:3 comment="NaGaPb2S4 | Alexandria via LeMat-Bulk | GGA-PBE | relaxed" magnetic_moment_mub_per_atom=0.000 formation_energy_uncorrected_kj_per_mol_atoms=-53.5 n_ef_per_ev_atom=0.190 pbc="T T T"
Na -2.0221 2.0300 2.8085
Na 2.0221 2.0300 2.8085
Ga 0.0000 0.0000 0.0000
Ga 0.0000 4.0600 0.0000
Pb 2.0221 2.0300 -2.8085
Pb 2.0221 -2.0300 2.8085
Pb 4.0441 0.0000 0.0000
Pb 0.0000 0.0000 5.6169
S 0.0000 0.0680 2.3922
S 1.8756 2.0300 0.0638
S 2.1685 -2.0300 5.6808
S 4.0441 0.0680 3.2247
S 0.0000 3.9920 2.3922
S 1.8756 6.0900 -0.0638
S 2.1685 2.0300 5.5531
S 4.0441 3.9920 3.2247

| no. | mass density (g/cm³) |
| --- | --- |
| 1 | 7.01 |
| 2 | 5.72 |